[1]
Below is crystalline MnRh2Au at its relaxed geometry, with properties calculated at the PBE level.

Lattice parameters (Å, degrees): 4.6286 4.6286 2.9407 90.00 90.00 105.91
With the nearest neighbours (Å) after each atom.
Atoms (fractional coordinates):
Mn1 0.0000 0.5000 0.5000  8 Rh 2.74, 2 Au 2.79, 2 Mn 2.94
Au1 0.5000 0.0000 0.5000  8 Rh 2.74, 2 Mn 2.79, 2 Au 2.94
Rh1 0.5000 0.5000 0.0000  4 Au 2.74, 4 Mn 2.74, 4 Rh 2.79-2.94
Rh2 0.0000 0.0000 0.0000  4 Mn 2.74, 4 Au 2.74, 4 Rh 2.79-2.94

Output
VASP energy ... -6.73 eV per atom
Volume ... 15.15 A^3/atom
ΔH_f (0 K) ... 53 meV per atom

=====

[2]
Below is crystalline MnRh2Au at its relaxed geometry, with properties calculated at the PBE level.

Lattice parameters (Å, degrees): 2.8273 2.8273 7.5926 90.00 90.00 90.00
With the nearest neighbours (Å) after each atom.
Atoms (fractional coordinates):
Rh1 0.0000 0.0000 0.9925  4 Mn 2.64, 8 Rh 2.71-2.83
Rh2 0.5000 0.5000 0.2344  8 Rh 2.71-2.83, 4 Au 2.88
Au1 0.0000 0.0000 0.5075  4 Mn 2.80, 4 Au 2.83, 4 Rh 2.88
Mn1 0.5000 0.5000 0.7656  4 Rh 2.64, 4 Au 2.80, 4 Mn 2.83

Output
VASP energy ... -6.76 eV per atom
Volume ... 15.17 A^3/atom
ΔH_f (0 K) ... 28 meV per atom

=====

[3]
Below is crystalline MnRh2Au at its relaxed geometry, with properties calculated at the PBE level.

Lattice parameters (Å, degrees): 2.8538 4.7535 5.5233 54.05 90.00 90.00
With the nearest neighbours (Å) after each atom.
Atoms (fractional coordinates):
Au1 0.5000 0.5000 0.5000  6 Rh 2.76, 4 Mn 2.77, 2 Au 2.85
Mn1 0.0000 0.0000 0.5000  6 Rh 2.76, 4 Au 2.77, 2 Mn 2.85
Rh1 0.5000 0.5000 0.0000  4 Mn 2.76, 2 Au 2.76, 6 Rh 2.77-2.85
Rh2 0.0000 0.0000 0.0000  4 Au 2.76, 2 Mn 2.76, 6 Rh 2.77-2.85

Output
VASP energy ... -6.77 eV per atom
Volume ... 15.16 A^3/atom
ΔH_f (0 K) ... 14 meV per atom

=====

[4]
Below is crystalline Mn3RhAu at its relaxed geometry, with properties calculated at the PBE level.

Lattice parameters (Å, degrees): 4.7643 4.7643 4.7643 90.00 90.00 90.00
With the nearest neighbours (Å) after each atom.
Atoms (fractional coordinates):
Mn1 0.0000 0.5000 0.0000  2 Rh 2.38
Mn2 0.0000 0.0000 0.5000  2 Rh 2.38
Mn3 0.5000 0.0000 0.0000  2 Rh 2.38
Rh1 0.0000 0.0000 0.0000  6 Mn 2.38
Au1 0.5000 0.5000 0.5000  12 Mn 3.37

Output
VASP energy ... -6.77 eV per atom
Volume ... 21.63 A^3/atom
Offset from the most stable computed form ... 0 meV/atom
ΔH_f (0 K) ... 856 meV per atom

=====

[5]
Below is crystalline MnRhAu at its relaxed geometry, with properties calculated at the PBE level.

Lattice parameters (Å, degrees): 4.1979 4.1979 4.1979 60.00 60.00 60.00
With the nearest neighbours (Å) after each atom.
Atoms (fractional coordinates):
Rh1 0.0000 0.0000 0.0000  4 Mn 2.57
Au1 0.5000 0.5000 0.5000  4 Mn 2.57
Mn1 0.7500 0.7500 0.7500  4 Rh 2.57, 4 Au 2.57

Output
VASP energy ... -6.35 eV per atom
Volume ... 17.44 A^3/atom
Offset from the most stable computed form ... 276 meV/atom
ΔH_f (0 K) ... 253 meV per atom

=====

[6]
Below is crystalline MnSi2RhAu at its relaxed geometry, with properties calculated at the PBE level.

Lattice parameters (Å, degrees): 4.4825 5.0328 4.4825 90.00 90.00 90.00
With the nearest neighbours (Å) after each atom.
Atoms (fractional coordinates):
Rh1 0.0000 0.0000 0.0000  4 Si 2.24
Si1 0.0000 0.0000 0.5000  2 Rh 2.24
Si2 0.5000 0.0000 0.0000  2 Rh 2.24
Mn1 0.0000 0.5000 0.0000  2 Rh 2.52
Au1 0.5000 0.5000 0.5000  4 Mn 3.17, 8 Si 3.37

Output
VASP energy ... -5.78 eV per atom
Volume ... 20.22 A^3/atom
E_form (uncorrected) ... 344 meV per atom

=====

[7]
Below is crystalline TiMnRh2Au at its relaxed geometry, with properties calculated at the PBE level.

Lattice parameters (Å, degrees): 4.3590 4.8146 4.3590 90.00 90.00 90.00
With the nearest neighbours (Å) after each atom.
Atoms (fractional coordinates):
Ti1 0.5000 0.5000 0.5000  4 Au 3.08, 8 Rh 3.25
Rh1 0.5000 0.0000 0.0000  2 Mn 2.18
Rh2 0.0000 0.0000 0.5000  2 Mn 2.18
Mn1 0.0000 0.0000 0.0000  4 Rh 2.18, 2 Au 2.41
Au1 0.0000 0.5000 0.0000  2 Mn 2.41

Output
VASP energy ... -6.21 eV per atom
Volume ... 18.30 A^3/atom
ΔH_f (0 K) ... 799 meV per atom

=====

[8]
Below is crystalline TmMnRhAu at its relaxed geometry, with properties calculated at the PBE level.

Lattice parameters (Å, degrees): 4.6876 4.6876 4.6876 60.00 60.00 60.00
With the nearest neighbours (Å) after each atom.
Atoms (fractional coordinates):
Tm1 0.2500 0.2500 0.2500  4 Rh 2.87, 4 Au 2.87
Au1 0.0000 0.0000 0.0000  4 Mn 2.87, 4 Tm 2.87
Rh1 0.5000 0.5000 0.5000  4 Mn 2.87, 4 Tm 2.87
Mn1 0.7500 0.7500 0.7500  4 Rh 2.87, 4 Au 2.87

Output
VASP energy ... -6.53 eV per atom
Volume ... 18.21 A^3/atom
ΔH_f (0 K) ... -460 meV per atom

=====

[9]
Below is crystalline YMnRhAu at its relaxed geometry, with properties calculated at the PBE level.

Lattice parameters (Å, degrees): 4.7394 4.7394 4.7394 60.00 60.00 60.00
With the nearest neighbours (Å) after each atom.
Atoms (fractional coordinates):
Y1 0.7500 0.7500 0.7500  4 Rh 2.90, 4 Au 2.90
Rh1 0.5000 0.5000 0.5000  4 Y 2.90, 4 Mn 2.90
Au1 0.0000 0.0000 0.0000  4 Mn 2.90, 4 Y 2.90
Mn1 0.2500 0.2500 0.2500  4 Rh 2.90, 4 Au 2.90

Output
VASP energy ... -6.96 eV per atom
Volume ... 18.82 A^3/atom
ΔH_f (0 K) ... -397 meV per atom

=====

[10]
Below is crystalline MnZn2RhAu at its relaxed geometry, with properties calculated at the PBE level.

Lattice parameters (Å, degrees): 4.5926 4.5926 4.3909 90.00 90.00 90.00
With the nearest neighbours (Å) after each atom.
Atoms (fractional coordinates):
Rh1 0.0000 0.0000 0.5000  2 Mn 2.20
Zn1 0.0000 0.5000 0.0000  2 Mn 2.30
Zn2 0.5000 0.0000 0.0000  2 Mn 2.30
Au1 0.5000 0.5000 0.5000  8 Zn 3.18, 4 Rh 3.25
Mn1 0.0000 0.0000 0.0000  2 Rh 2.20, 4 Zn 2.30

Output
VASP energy ... -3.71 eV per atom
Volume ... 18.52 A^3/atom
ΔH_f (0 K) ... 755 meV per atom

=====

[11]
Below is crystalline MnRuAu2 at its relaxed geometry, with properties calculated at the PBE level.

Lattice parameters (Å, degrees): 4.5080 4.5080 4.5080 60.00 60.00 60.00
With the nearest neighbours (Å) after each atom.
Atoms (fractional coordinates):
Mn1 0.5000 0.5000 0.5000  4 Au 2.76, 4 Ru 2.76
Au1 0.0000 0.0000 0.0000  4 Ru 2.76, 4 Au 2.76
Au2 0.2500 0.2500 0.2500  4 Mn 2.76, 4 Au 2.76
Ru1 0.7500 0.7500 0.7500  4 Mn 2.76, 4 Au 2.76

Output
VASP energy ... -5.94 eV per atom
Volume ... 16.19 A^3/atom
Offset from the most stable computed form ... 152 meV/atom
ΔH_f (0 K) ... 306 meV per atom

=====

[12]
Below is crystalline Mn4RuAu at its relaxed geometry, with properties calculated at the PBE level.

Lattice parameters (Å, degrees): 4.7563 4.7563 4.7563 60.00 60.00 60.00
With the nearest neighbours (Å) after each atom.
Atoms (fractional coordinates):
Mn1 0.8761 0.3746 0.3746  6 Mn 2.37-2.38
Mn2 0.3746 0.8761 0.3746  6 Mn 2.37-2.38
Mn3 0.3746 0.3746 0.3746  6 Mn 2.37-2.38
Mn4 0.3746 0.3746 0.8761  6 Mn 2.37-2.38
Au1 0.0000 0.0000 0.0000  12 Mn 2.79, 4 Ru 2.91
Ru1 0.7500 0.7500 0.7500  12 Mn 2.79, 4 Au 2.91

Output
VASP energy ... -7.99 eV per atom
Volume ... 12.68 A^3/atom
ΔH_f (0 K) ... 213 meV per atom

=====

[13]
Below is crystalline MnRu2Au at its relaxed geometry, with properties calculated at the PBE level.

Lattice parameters (Å, degrees): 5.4147 5.4147 5.4147 149.60 131.47 58.35
With the nearest neighbours (Å) after each atom.
Atoms (fractional coordinates):
Ru1 0.4694 0.4694 0.0000  2 Mn 2.51, 4 Ru 2.70
Ru2 0.0306 0.0306 0.0000  2 Mn 2.51, 4 Ru 2.70
Au1 0.7500 0.2500 0.5000  4 Mn 2.64, 2 Au 2.84
Mn1 0.2500 0.7500 0.5000  4 Ru 2.51, 4 Au 2.64

Output
VASP energy ... -7.47 eV per atom
Volume ... 14.94 A^3/atom
Offset from the most stable computed form ... 132 meV/atom
ΔH_f (0 K) ... 277 meV per atom

=====

[14]
Below is crystalline MnRuAu2 at its relaxed geometry, with properties calculated at the PBE level.

Lattice parameters (Å, degrees): 4.8811 4.8811 4.8597 77.22 77.22 34.78
With the nearest neighbours (Å) after each atom.
Atoms (fractional coordinates):
Au1 0.7582 0.7582 0.7421  4 Ru 2.79-2.89, 3 Mn 2.80-2.86, 5 Au 2.80-2.92
Au2 0.9948 0.9948 0.0076  4 Mn 2.78-2.89, 5 Au 2.80-2.92, 3 Ru 2.81-2.84
Ru1 0.2368 0.2368 0.2627  2 Mn 2.59, 7 Au 2.79-2.89
Mn1 0.5103 0.5103 0.4876  2 Ru 2.59, 7 Au 2.78-2.89

Output
VASP energy ... -6.04 eV per atom
Volume ... 16.06 A^3/atom
Offset from the most stable computed form ... 57 meV/atom
ΔH_f (0 K) ... 210 meV per atom

=====

[15]
Below is crystalline MnRu2Au at its relaxed geometry, with properties calculated at the PBE level.

Lattice parameters (Å, degrees): 2.7721 3.6770 5.7847 90.00 90.00 90.00
With the nearest neighbours (Å) after each atom.
Atoms (fractional coordinates):
Mn1 0.5000 0.5000 0.7500  8 Ru 2.62, 2 Mn 2.77, 2 Au 2.89
Au1 0.5000 0.5000 0.2500  2 Au 2.77, 8 Ru 2.82, 2 Mn 2.89
Ru1 0.0000 0.0000 0.5327  3 Ru 2.51-2.77, 4 Mn 2.62
Ru2 0.0000 0.0000 0.9673  3 Ru 2.51-2.77, 4 Mn 2.62

Output
VASP energy ... -7.48 eV per atom
Volume ... 14.74 A^3/atom
Offset from the most stable computed form ... 123 meV/atom
ΔH_f (0 K) ... 269 meV per atom

=====

[16]
Below is crystalline MnRuAu2 at its relaxed geometry, with properties calculated at the PBE level.

Lattice parameters (Å, degrees): 4.8804 4.8804 2.8784 90.00 90.00 109.55
With the nearest neighbours (Å) after each atom.
Atoms (fractional coordinates):
Au1 0.0000 0.0000 0.0000  4 Au 2.82-2.88, 4 Ru 2.83, 4 Mn 2.83
Au2 0.5000 0.5000 0.0000  4 Au 2.82-2.88, 4 Mn 2.83, 4 Ru 2.83
Ru1 0.0000 0.5000 0.5000  2 Mn 2.82, 8 Au 2.83, 2 Ru 2.88
Mn1 0.5000 0.0000 0.5000  2 Ru 2.82, 8 Au 2.83, 2 Mn 2.88

Output
VASP energy ... -6.03 eV per atom
Volume ... 16.15 A^3/atom
Offset from the most stable computed form ... 71 meV/atom
ΔH_f (0 K) ... 225 meV per atom

=====

[17]
Below is crystalline MnRuAu3 at its relaxed geometry, with properties calculated at the PBE level.

Lattice parameters (Å, degrees): 4.9859 4.9859 4.9859 90.00 90.00 90.00
With the nearest neighbours (Å) after each atom.
Atoms (fractional coordinates):
Au1 0.5000 0.0000 0.0000  2 Ru 2.49
Au2 0.0000 0.5000 0.0000  2 Ru 2.49
Au3 0.0000 0.0000 0.5000  2 Ru 2.49
Ru1 0.0000 0.0000 0.0000  6 Au 2.49
Mn1 0.5000 0.5000 0.5000  12 Au 3.53

Output
VASP energy ... -4.43 eV per atom
Volume ... 24.79 A^3/atom
Offset from the most stable computed form ... 0 meV/atom
ΔH_f (0 K) ... 1228 meV per atom

=====

[18]
Below is crystalline MnRuAu2 at its relaxed geometry, with properties calculated at the PBE level.

Lattice parameters (Å, degrees): 4.8512 4.8512 4.8512 130.89 130.89 71.99
With the nearest neighbours (Å) after each atom.
Atoms (fractional coordinates):
Au1 0.2500 0.7500 0.5000  4 Mn 2.81, 4 Au 2.81, 4 Ru 2.85
Au2 0.0000 0.0000 0.0000  4 Ru 2.81, 4 Au 2.81, 4 Mn 2.85
Ru1 0.7500 0.2500 0.5000  8 Au 2.81-2.85, 4 Mn 2.81
Mn1 0.5000 0.5000 0.0000  4 Ru 2.81, 8 Au 2.81-2.85

Output
VASP energy ... -6.04 eV per atom
Volume ... 15.95 A^3/atom
Offset from the most stable computed form ... 56 meV/atom
ΔH_f (0 K) ... 209 meV per atom

=====

[19]
Below is crystalline MnRu2Au at its relaxed geometry, with properties calculated at the PBE level.

Lattice parameters (Å, degrees): 6.8944 6.8944 5.5312 51.45 51.45 90.00
With the nearest neighbours (Å) after each atom.
Atoms (fractional coordinates):
Ru1 0.8750 0.8164 0.7500  2 Mn 2.27
Ru2 0.3750 0.4336 0.7500  2 Mn 2.27
Ru3 0.1836 0.6250 0.2500  2 Mn 2.27
Ru4 0.5664 0.1250 0.2500  2 Mn 2.27
Au1 0.0000 0.0000 0.0000  2 Mn 2.61, 8 Ru 2.81-2.92
Au2 0.7500 0.2500 0.5000  2 Mn 2.61, 8 Ru 2.81-2.92
Mn1 0.5000 0.5000 0.0000  4 Ru 2.27
Mn2 0.2500 0.7500 0.5000  4 Ru 2.27

Output
VASP energy ... -7.18 eV per atom
Volume ... 15.53 A^3/atom
Offset from the most stable computed form ... 424 meV/atom
ΔH_f (0 K) ... 569 meV per atom

=====

[20]
Below is crystalline MnRu2Au at its relaxed geometry, with properties calculated at the PBE level.

Lattice parameters (Å, degrees): 4.7007 4.7007 2.8310 90.00 90.00 109.05
With the nearest neighbours (Å) after each atom.
Atoms (fractional coordinates):
Ru1 0.5000 0.5000 0.0000  4 Ru 2.73-2.83, 4 Mn 2.74, 4 Au 2.74
Ru2 0.0000 0.0000 0.0000  4 Ru 2.73-2.83, 4 Au 2.74, 4 Mn 2.74
Au1 0.5000 0.0000 0.5000  2 Mn 2.73, 8 Ru 2.74, 2 Au 2.83
Mn1 0.0000 0.5000 0.5000  2 Au 2.73, 8 Ru 2.74, 2 Mn 2.83

Output
VASP energy ... -7.43 eV per atom
Volume ... 14.78 A^3/atom
Offset from the most stable computed form ... 175 meV/atom
ΔH_f (0 K) ... 321 meV per atom